Model P:
NdThHgRh after structural relaxation. Source: the Alexandria database, functional PBE.

For the size of the total moment, the calculation gives 0.00 μB per cell.

The space group is R3m (No. 160, hexagonal axes) and the conventional cell measures 4.1028, 4.1028 and 23.5319 Å, with angles of 90.00, 90.00 and 120.00 degrees. Symmetry generates all atoms from Nd at (0.0000, 0.0000, 0.0000), Th at (0.0000, 0.0000, 0.8029), Hg at (0.0000, 0.0000, 0.2345) and Rh at (0.0000, 0.0000, 0.4067).

***

Model Q:
NdThHgRh after structural relaxation. Source: the Alexandria database, functional PBE.

For the size of the total moment, the calculation gives 0.00 μB per cell.

The space group is F-43m (No. 216) and the conventional cell measures 7.389, 7.389 and 7.389 Å, with angles of 90.00, 90.00 and 90.00 degrees. Symmetry generates all atoms from Nd at (0.000, 0.000, 0.000), Th at (0.000, 0.000, 0.500), Hg at (0.250, 0.250, 0.250) and Rh at (0.250, 0.250, 0.750).

***

Energy comparison, zero being the most stable, in meV/atom: model P 0; model Q 132.

***

Model P:
Nd3Hg2Ru after structural relaxation. Source: the Alexandria database, functional PBE.

For the size of the total moment, the calculation gives 0.00 μB per cell.

The space group is C2/m (No. 12) and the conventional cell measures 16.708, 5.440 and 3.605 Å, with angles of 90.00, 90.10 and 90.00 degrees. Symmetry generates all atoms from Nd at (0.000, 0.000, 0.000), Nd at (0.137, 0.500, 0.500), Hg at (0.195, 0.000, 0.999) and Ru at (0.000, 0.500, 0.000).

***

Model Q:
Nd3Hg2Ru after structural relaxation. Source: the Alexandria database, functional PBE.

For the size of the total moment, the calculation gives 0.00 μB per cell.

The space group is P2/m (No. 10) and the conventional cell measures 5.248, 7.682 and 8.185 Å, with angles of 90.00, 108.55 and 90.00 degrees. Symmetry generates all atoms from Nd at (0.000, 0.233, 0.000), Nd at (0.325, 0.225, 0.651), Hg at (0.166, 0.500, 0.330), Hg at (0.500, 0.000, 0.000), Hg at (0.500, 0.500, 0.000) and Ru at (0.163, 0.000, 0.328).

***

Energy comparison, zero being the most stable, in meV/atom: model P 20; model Q 0.